Model A:
This record from the Alexandria database describes crystalline TbEr4Sc3 at its relaxed geometry. The functional is GGA-PBE.

Geometry as extended XYZ:
```
8
Lattice="5.9020 0.0000 0.0000 -1.9755 5.5877 0.0000 -0.0048 -0.0094 6.8664" Properties=species:S:1:pos:R:3 pbc="T T T"
Tb 0.0000 0.0000 0.0000
Er 2.9517 -0.0011 1.7377
Er 0.9700 5.5795 5.1288
Er 1.9633 2.7938 0.0000
Er 1.9609 2.7892 3.4332
Sc -0.0024 -0.0047 3.4332
Sc -0.9877 2.7926 1.7474
Sc 4.9094 2.7857 5.1191
```

The calculation puts the density of states at the Fermi level at 1.56 states/eV per atom. Its space group is No. 2. Its theoretical density is 7060 kg/m³.

***

Model B:
This record from the Alexandria database describes crystalline TbEr4Sc3 at its relaxed geometry. The functional is GGA-PBE.

Geometry as extended XYZ:
```
16
Lattice="10.8414 0.0000 0.0000 0.0000 6.9895 0.0000 0.0000 0.0000 6.0353" Properties=species:S:1:pos:R:3 pbc="T T T"
Tb 0.0000 0.8310 0.0000
Tb 5.4207 6.1585 3.0177
Er 0.0000 2.5821 2.9951
Er 0.0000 4.4015 5.9763
Er 2.6680 4.4064 2.0115
Er 2.7527 2.5831 5.0292
Er 5.4207 2.5880 2.9587
Er 5.4207 4.4075 6.0128
Er 8.0887 2.5831 5.0292
Er 8.1734 4.4064 2.0115
Sc 0.0000 6.1406 3.0203
Sc 2.7021 0.8424 1.9871
Sc 2.7186 6.1471 5.0047
Sc 5.4207 0.8489 0.0026
Sc 8.1228 6.1471 5.0047
Sc 8.1393 0.8424 1.9871
```

The calculation puts the density of states at the Fermi level at 1.82 states/eV per atom. Its space group is No. 31. Its theoretical density is 6992 kg/m³.

***

Stability ranking, top entry: model B; the second entry is 32 meV/atom less favorable.

***

Model A:
This record from the Alexandria database describes crystalline TbEr2Sc at its relaxed geometry. The functional is GGA-PBE.

Geometry as extended XYZ:
```
4
Lattice="3.0211 -1.7442 0.0000 3.0211 1.7442 0.0000 -2.0180 0.0000 11.1536" Properties=species:S:1:pos:R:3 pbc="T T T"
Tb 0.0000 0.0000 0.0000
Er 2.0160 0.0000 2.8873
Er 2.0194 0.0000 8.2312
Sc 0.0039 0.0000 5.5420
```

The calculation puts the density of states at the Fermi level at 1.66 states/eV per atom. Its space group is No. 8. Its theoretical density is 7606 kg/m³.

***

Model B:
This record from the Alexandria database describes crystalline TbEr2Sc at its relaxed geometry. The functional is GGA-PBE.

Geometry as extended XYZ:
```
4
Lattice="-1.7686 5.4926 3.0478 1.7686 -5.4926 3.0478 1.7686 5.4926 -3.0478" Properties=species:S:1:pos:R:3 pbc="T T T"
Tb 0.0000 0.0000 0.0000
Er 1.7686 2.8055 0.9670
Er 0.0000 2.6871 4.0149
Sc 1.7686 0.0000 3.0096
```

The calculation puts the density of states at the Fermi level at 1.72 states/eV per atom. Its space group is No. 44. Its theoretical density is 7549 kg/m³.

***

Model C:
This record from the Alexandria database describes crystalline TbEr2Sc at its relaxed geometry. The functional is GGA-PBE.

Geometry as extended XYZ:
```
4
Lattice="4.8824 0.0000 0.0000 0.0000 4.8824 0.0000 0.0000 0.0000 4.9096" Properties=species:S:1:pos:R:3 pbc="T T T"
Tb 0.0000 0.0000 0.0000
Er 0.0000 2.4412 2.4548
Er 2.4412 0.0000 2.4548
Sc 2.4412 2.4412 0.0000
```

The calculation puts the density of states at the Fermi level at 1.58 states/eV per atom. Its space group is No. 123. Its theoretical density is 7639 kg/m³.

***

Stability ranking, top entry: model B; the second entry is 9 meV/atom less favorable.

***

Model A:
This record from the Alexandria database describes crystalline TbEr2Sc at its relaxed geometry. The functional is GGA-PBE.

Geometry as extended XYZ:
```
4
Lattice="1.7358 1.0022 11.2266 -1.7358 1.0022 11.2266 0.0000 -2.0043 11.2266" Properties=species:S:1:pos:R:3 pbc="T T T"
Tb 0.0000 0.0000 0.0000
Er 0.0000 0.0000 8.3137
Er 0.0000 0.0000 25.3661
Sc 0.0000 0.0000 16.8399
```

The calculation puts the density of states at the Fermi level at 1.60 states/eV per atom. Its space group is No. 166. Its theoretical density is 7630 kg/m³.

***

Model B:
This record from the Alexandria database describes crystalline TbEr2Sc at its relaxed geometry. The functional is GGA-PBE.

Geometry as extended XYZ:
```
4
Lattice="0.0000 3.9007 3.9007 3.9007 0.0000 3.9007 3.9007 3.9007 0.0000" Properties=species:S:1:pos:R:3 pbc="T T T"
Tb 0.0000 0.0000 0.0000
Er 1.9503 1.9503 1.9503
Er 5.8510 5.8510 5.8510
Sc 3.9007 3.9007 3.9007
```

The calculation puts the density of states at the Fermi level at 2.46 states/eV per atom. Its space group is No. 225. Its theoretical density is 7532 kg/m³.

***

Stability ranking, top entry: model A; the second entry is 101 meV/atom less favorable.

***

Model A:
This record from the Alexandria database describes crystalline TbEr2Sc at its relaxed geometry. The functional is GGA-PBE.

Geometry as extended XYZ:
```
4
Lattice="3.4711 0.0000 0.0000 0.0000 3.4711 0.0000 0.0000 0.0000 9.7267" Properties=species:S:1:pos:R:3 pbc="T T T"
Tb 0.0000 0.0000 0.0000
Er 1.7355 1.7355 2.5371
Er 1.7355 1.7355 7.1896
Sc 0.0000 0.0000 4.8634
```

The calculation puts the density of states at the Fermi level at 1.48 states/eV per atom. Its space group is No. 123. Its theoretical density is 7629 kg/m³.

***

Model B:
This record from the Alexandria database describes crystalline TbEr2Sc at its relaxed geometry. The functional is GGA-PBE.

Geometry as extended XYZ:
```
4
Lattice="1.7487 1.0096 11.0955 -1.7487 1.0096 11.0955 0.0000 -2.0192 11.0955" Properties=species:S:1:pos:R:3 pbc="T T T"
Tb 0.0000 0.0000 0.0000
Er 0.0000 0.0000 19.3055
Er 0.0000 0.0000 25.0457
Sc 0.0000 0.0000 5.5194
```

The calculation puts the density of states at the Fermi level at 1.51 states/eV per atom. Its space group is No. 160. Its theoretical density is 7607 kg/m³.

***

Stability ranking, top entry: model B; the second entry is 8 meV/atom less favorable.